Below is AcTbPm4Dy2 after structural relaxation, with properties calculated at the PBE level.

Output
calculated density: 7.8 g/cm3
space group: Pmmm
total energy: -36.71 eV for the cell shown
ΔE_f: 0.03 eV per atom

Cell lengths 5.150, 5.178, 10.351 Å; angles 90.00, 90.00, 90.00 degrees
Positions (direct):
1 Ac 0.000 0.000 0.000
2 Tb 0.500 0.500 0.500
3 Pm 0.000 0.500 0.257
4 Pm 0.000 0.500 0.743
5 Pm 0.500 0.000 0.258
6 Pm 0.500 0.000 0.742
7 Dy 0.000 0.000 0.500
8 Dy 0.500 0.500 0.000